No. 1
Compound: MnNiH2
Source: Alexandria
Functional: PBE-GGA
Structure: optimized geometry

Calculated volume: 92.3 Å³/cell
SG: No. 166
Final energy: -5.362 eV per atom
Crystal system: trigonal

a = 2.7775 Å, b = 2.7775 Å, c = 13.8203 Å
α = 90.00°, β = 90.00°, γ = 120.00°
Positions (direct):
1 Mn 0.0000 0.0000 0.0000
2 Mn 0.3333 0.6667 0.6667
3 Mn 0.6667 0.3333 0.3333
4 Ni 0.0000 0.0000 0.5000
5 Ni 0.3333 0.6667 0.1667
6 Ni 0.6667 0.3333 0.8333
7 H 0.0000 0.0000 0.3839
8 H 0.0000 0.0000 0.6161
9 H 0.3333 0.6667 0.0506
10 H 0.3333 0.6667 0.2827
11 H 0.6667 0.3333 0.7173
12 H 0.6667 0.3333 0.9494



No. 2
Compound: FeCoH18N6Cl6
Source: Alexandria
Functional: PBE-GGA
Structure: optimized geometry

Calculated volume: 1476.6 Å³/cell
SG: No. 205
Final energy: -4.855 eV per atom
Crystal system: cubic

a = 11.3873 Å, b = 11.3873 Å, c = 11.3873 Å
α = 90.00°, β = 90.00°, γ = 90.00°
Positions (direct):
1 Fe 0.0000 0.0000 0.0000
2 Fe 0.0000 0.5000 0.5000
3 Fe 0.5000 0.0000 0.5000
4 Fe 0.5000 0.5000 0.0000
5 Co 0.0000 0.0000 0.5000
6 Co 0.0000 0.5000 0.0000
7 Co 0.5000 0.0000 0.0000
8 Co 0.5000 0.5000 0.5000
9 H 0.0282 0.1835 0.6287
10 H 0.0282 0.3165 0.1287
11 H 0.0365 0.0664 0.7121
12 H 0.0365 0.4336 0.2121
13 H 0.0664 0.7121 0.0365
14 H 0.0664 0.7879 0.5365
15 H 0.1024 0.6301 0.1495
16 H 0.1024 0.8699 0.6495
17 H 0.1287 0.0282 0.3165
18 H 0.1287 0.4718 0.8165
19 H 0.1301 0.1495 0.3976
20 H 0.1301 0.3505 0.8976
21 H 0.1495 0.1024 0.6301
22 H 0.1495 0.3976 0.1301
23 H 0.1835 0.6287 0.0282
24 H 0.1835 0.8713 0.5282
25 H 0.2121 0.0365 0.4336
26 H 0.2121 0.4635 0.9336
27 H 0.2879 0.5365 0.4336
28 H 0.2879 0.9635 0.9336
29 H 0.3165 0.1287 0.0282
30 H 0.3165 0.3713 0.5282
31 H 0.3505 0.6024 0.6301
32 H 0.3505 0.8976 0.1301
33 H 0.3699 0.6495 0.3976
34 H 0.3699 0.8505 0.8976
35 H 0.3713 0.5282 0.3165
36 H 0.3713 0.9718 0.8165
37 H 0.3976 0.1301 0.1495
38 H 0.3976 0.3699 0.6495
39 H 0.4336 0.2121 0.0365
40 H 0.4336 0.2879 0.5365
41 H 0.4635 0.5664 0.7121
42 H 0.4635 0.9336 0.2121
43 H 0.4718 0.6835 0.6287
44 H 0.4718 0.8165 0.1287
45 H 0.5282 0.1835 0.8713
46 H 0.5282 0.3165 0.3713
47 H 0.5365 0.0664 0.7879
48 H 0.5365 0.4336 0.2879
49 H 0.5664 0.7121 0.4635
50 H 0.5664 0.7879 0.9635
51 H 0.6024 0.6301 0.3505
52 H 0.6024 0.8699 0.8505
53 H 0.6287 0.0282 0.1835
54 H 0.6287 0.4718 0.6835
55 H 0.6301 0.1495 0.1024
56 H 0.6301 0.3505 0.6024
57 H 0.6495 0.1024 0.8699
58 H 0.6495 0.3976 0.3699
59 H 0.6835 0.6287 0.4718
60 H 0.6835 0.8713 0.9718
61 H 0.7121 0.0365 0.0664
62 H 0.7121 0.4635 0.5664
63 H 0.7879 0.5365 0.0664
64 H 0.7879 0.9635 0.5664
65 H 0.8165 0.1287 0.4718
66 H 0.8165 0.3713 0.9718
67 H 0.8505 0.6024 0.8699
68 H 0.8505 0.8976 0.3699
69 H 0.8699 0.6495 0.1024
70 H 0.8699 0.8505 0.6024
71 H 0.8713 0.5282 0.1835
72 H 0.8713 0.9718 0.6835
73 H 0.8976 0.1301 0.3505
74 H 0.8976 0.3699 0.8505
75 H 0.9336 0.2121 0.4635
76 H 0.9336 0.2879 0.9635
77 H 0.9635 0.5664 0.7879
78 H 0.9635 0.9336 0.2879
79 H 0.9718 0.6835 0.8713
80 H 0.9718 0.8165 0.3713
81 N 0.0590 0.0982 0.6306
82 N 0.0590 0.4018 0.1306
83 N 0.0982 0.6306 0.0590
84 N 0.0982 0.8694 0.5590
85 N 0.1306 0.0590 0.4018
86 N 0.1306 0.4410 0.9018
87 N 0.3694 0.5590 0.4018
88 N 0.3694 0.9410 0.9018
89 N 0.4018 0.1306 0.0590
90 N 0.4018 0.3694 0.5590
91 N 0.4410 0.5982 0.6306
92 N 0.4410 0.9018 0.1306
93 N 0.5590 0.0982 0.8694
94 N 0.5590 0.4018 0.3694
95 N 0.5982 0.6306 0.4410
96 N 0.5982 0.8694 0.9410
97 N 0.6306 0.0590 0.0982
98 N 0.6306 0.4410 0.5982
99 N 0.8694 0.5590 0.0982
100 N 0.8694 0.9410 0.5982
101 N 0.9018 0.1306 0.4410
102 N 0.9018 0.3694 0.9410
103 N 0.9410 0.5982 0.8694
104 N 0.9410 0.9018 0.3694
105 Cl 0.0711 0.6351 0.3525
106 Cl 0.0711 0.8649 0.8525
107 Cl 0.1351 0.1475 0.9289
108 Cl 0.1351 0.3525 0.4289
109 Cl 0.1475 0.5711 0.6351
110 Cl 0.1475 0.9289 0.1351
111 Cl 0.3525 0.0711 0.6351
112 Cl 0.3525 0.4289 0.1351
113 Cl 0.3649 0.6475 0.9289
114 Cl 0.3649 0.8525 0.4289
115 Cl 0.4289 0.1351 0.3525
116 Cl 0.4289 0.3649 0.8525
117 Cl 0.5711 0.6351 0.1475
118 Cl 0.5711 0.8649 0.6475
119 Cl 0.6351 0.1475 0.5711
120 Cl 0.6351 0.3525 0.0711
121 Cl 0.6475 0.5711 0.8649
122 Cl 0.6475 0.9289 0.3649
123 Cl 0.8525 0.0711 0.8649
124 Cl 0.8525 0.4289 0.3649
125 Cl 0.8649 0.6475 0.5711
126 Cl 0.8649 0.8525 0.0711
127 Cl 0.9289 0.1351 0.1475
128 Cl 0.9289 0.3649 0.6475



No. 3
Compound: Tb2CdHg3
Source: Alexandria
Functional: PBE-GGA
Structure: optimized geometry

Calculated volume: 293.6 Å³/cell
Energy relative to the elements: -0.390 eV per atom
SG: No. 69
Crystal system: orthorhombic

a = 9.8961 Å, b = 9.2446 Å, c = 6.0374 Å
α = 77.60°, β = 65.83°, γ = 36.57°
Positions (direct):
1 Tb 0.2476 0.7524 0.7524
2 Tb 0.2500 0.2500 0.2500
3 Tb 0.7500 0.7500 0.7500
4 Tb 0.7524 0.2476 0.2476
5 Cd 0.3332 0.3332 0.6668
6 Cd 0.6668 0.6668 0.3332
7 Hg 0.1676 0.1676 0.8324
8 Hg 0.1686 0.6633 0.3367
9 Hg 0.3367 0.8314 0.1686
10 Hg 0.6633 0.1686 0.8314
11 Hg 0.8314 0.3367 0.6633
12 Hg 0.8324 0.8324 0.1676



No. 4
Compound: Ba5Bi2SbTe
Source: Alexandria
Functional: PBE-GGA
Structure: optimized geometry

Calculated volume: 463.8 Å³/cell
SG: No. 71
ΔE_f (raw): -7.4 eV per formula unit
Crystal system: orthorhombic

a = 10.3963 Å, b = 10.3963 Å, c = 10.3963 Å
α = 146.35°, β = 131.24°, γ = 60.55°
Positions (direct):
1 Ba 0.0000 0.0000 0.0000
2 Ba 0.1112 0.3552 0.7560
3 Ba 0.4007 0.6448 0.7560
4 Ba 0.5993 0.3552 0.2440
5 Ba 0.8888 0.6448 0.2440
6 Bi 0.1957 0.1957 0.0000
7 Bi 0.8043 0.8043 0.0000
8 Sb 0.0000 0.5000 0.5000
9 Te 0.5000 0.0000 0.5000



No. 5
Compound: MgPtBr2
Source: Alexandria
Functional: PBE-GGA
Structure: optimized geometry

Calculated volume: 98.3 Å³/cell
SG: No. 10
ΔE_f (raw): -0.6 eV per formula unit
Excess energy over the best structure of this formula in the dataset: 2.02 eV/f.u.
Crystal system: monoclinic

a = 4.9152 Å, b = 4.0457 Å, c = 4.9478 Å
α = 90.00°, β = 92.39°, γ = 90.00°
Positions (direct):
1 Mg 0.0000 0.0000 0.0000
2 Pt 0.5000 0.0000 0.5000
3 Br 0.2585 0.5000 0.7414
4 Br 0.7415 0.5000 0.2586



No. 6
Compound: TlCuAgF4
Source: Alexandria
Functional: PBE-GGA
Structure: optimized geometry

Calculated volume: 251.6 Å³/cell
SG: No. 11
ΔE_f (raw): -9.5 eV per formula unit
Crystal system: monoclinic

a = 5.9503 Å, b = 6.0104 Å, c = 7.3448 Å
α = 90.00°, β = 106.67°, γ = 90.00°
Positions (direct):
1 Tl 0.2199 0.2500 0.4458
2 Tl 0.7801 0.7500 0.5542
3 Cu 0.2371 0.7500 0.1515
4 Cu 0.7629 0.2500 0.8485
5 Ag 0.3535 0.2500 0.9753
6 Ag 0.6465 0.7500 0.0247
7 F 0.0046 0.2500 0.0797
8 F 0.0278 0.7500 0.3077
9 F 0.4818 0.5153 0.2414
10 F 0.4818 0.9847 0.2414
11 F 0.5182 0.0153 0.7586
12 F 0.5182 0.4847 0.7586
13 F 0.9722 0.2500 0.6923
14 F 0.9954 0.7500 0.9203



no.,total magnetic moment (μB/f.u.)
1,3.403
2,4.855
3,0.000
4,0.000
5,0.000
6,1.008